The following is a GGA-PBE calculation of a relaxed K2TcBr4O2 crystal, from the Alexandria database.

Geometry as CIF:
```
data_K2TcBr4O2
_chemical_formula_sum 'K4 Tc2 Br8 O4'
_symmetry_space_group_name_H-M 'C 1 2/m 1'
_symmetry_Int_Tables_number 12
_symmetry_space_group_name_Hall '-C 2y'
_cell_length_a 11.8048
_cell_length_b 7.4767
_cell_length_c 7.3333
_cell_angle_alpha 90.00
_cell_angle_beta 124.73
_cell_angle_gamma 90.00
loop_
_atom_site_label
_atom_site_type_symbol
_atom_site_fract_x
_atom_site_fract_y
_atom_site_fract_z
_atom_site_occupancy
K1 K 0.2482 0.0000 0.1934 1
Tc1 Tc 0.0000 0.5000 0.0000 1
Br1 Br 0.0365 0.2555 0.2780 1
O1 O 0.1780 0.5000 0.1088 1
```

Output
ρ, g cm⁻³: 3.295

***

The following is a GGA-PBE calculation of a relaxed AgPt2Br crystal, from the Alexandria database.

Geometry as CIF:
```
data_AgPt2Br
_chemical_formula_sum 'Ag2 Pt4 Br2'
_symmetry_space_group_name_H-M 'C m m m'
_symmetry_Int_Tables_number 65
_symmetry_space_group_name_Hall '-C 2 2'
_cell_length_a 5.8827
_cell_length_b 8.1619
_cell_length_c 2.9415
_cell_angle_alpha 90.00
_cell_angle_beta 90.00
_cell_angle_gamma 90.00
loop_
_atom_site_label
_atom_site_type_symbol
_atom_site_fract_x
_atom_site_fract_y
_atom_site_fract_z
_atom_site_occupancy
Ag1 Ag 0.0000 0.0000 0.0000 1
Pt1 Pt 0.2500 0.2500 0.5000 1
Br1 Br 0.0000 0.5000 0.0000 1
```

Output
ρ, g cm⁻³: 13.590
E above lowest polymorph, eV per atom: 0.3256

***

The following is a GGA-PBE calculation of a relaxed Yb3Sm3S8 crystal, from the Alexandria database.

Geometry as CIF:
```
data_Yb3Sm3S8
_chemical_formula_sum 'Yb6 Sm6 S16'
_symmetry_space_group_name_H-M 'C 1 2 1'
_symmetry_Int_Tables_number 5
_symmetry_space_group_name_Hall 'C 2y'
_cell_length_a 11.9464
_cell_length_b 8.4556
_cell_length_c 8.4267
_cell_angle_alpha 90.00
_cell_angle_beta 134.80
_cell_angle_gamma 90.00
loop_
_atom_site_label
_atom_site_type_symbol
_atom_site_fract_x
_atom_site_fract_y
_atom_site_fract_z
_atom_site_occupancy
Yb1 Yb 0.0000 0.0000 0.0000 1
Yb2 Yb 0.1260 0.6286 0.3765 1
Sm1 Sm 0.0000 0.2542 0.5000 1
Sm2 Sm 0.2494 0.8757 0.8733 1
S1 S 0.0704 0.9495 0.3920 1
S2 S 0.0722 0.3098 0.2505 1
S3 S 0.1798 0.5529 0.7496 1
S4 S 0.1801 0.6969 0.1086 1
```

Output
ρ, g cm⁻³: 6.745

***

Number 1: formation energy (no corrections) -1.165 eV per atom, magnetic moment 2.0 μB per cell. Number 2: formation energy (no corrections) 0.526 eV per atom, magnetic moment 0.0 μB per cell. Number 3: formation energy (no corrections) -2.049 eV per atom, magnetic moment 2.5 μB per cell.